A | # KZn3Pd

A relaxed structure of KZn3Pd (PBE, the Alexandria database).

M_tot   0.0 μB/f.u.

Cell lengths 4.9527, 4.9527, 4.9527 Å; angles 90.00, 90.00, 90.00 degrees
Last column: nearest neighbours and their distance in Å.
Space group Pm-3m (No. 221)
One atom of each set of equivalent atoms:
K 0.0000 0.0000 0.0000 [1 per cell]  12 Zn 3.50
Zn 0.0000 0.5000 0.5000 [3 per cell]  2 Pd 2.48
Pd 0.5000 0.5000 0.5000 [1 per cell]  6 Zn 2.48



B | # KZn3Pd

A relaxed structure of KZn3Pd (PBE, the Alexandria database).

M_tot   0.0 μB/f.u.

Cell lengths 5.8561, 5.8561, 5.8561 Å; angles 90.00, 90.00, 90.00 degrees
Last column: nearest neighbours and their distance in Å.
Space group Pm-3m (No. 221)
One atom of each set of equivalent atoms:
K 0.0000 0.0000 0.0000 [1 per cell]  6 Zn 2.93
Zn 0.0000 0.0000 0.5000 [3 per cell]  2 K 2.93
Pd 0.5000 0.5000 0.5000 [1 per cell]  12 Zn 4.14



The structure with the greatest stability is A.



A | # KZn2Pd

A relaxed structure of KZn2Pd (PBE, the Alexandria database).

M_tot   0.0 μB/f.u.

Cell lengths 6.8941, 6.8941, 6.8941 Å; angles 90.00, 90.00, 90.00 degrees
Last column: nearest neighbours and their distance in Å.
Space group Fm-3m (No. 225)
One atom of each set of equivalent atoms:
K 0.0000 0.0000 0.0000 [4 per cell]  8 Zn 2.99
Zn 0.2500 0.2500 0.2500 [8 per cell]  4 K 2.99, 4 Pd 2.99
Pd 0.0000 0.0000 0.5000 [4 per cell]  8 Zn 2.99



B | # KZn2Pd

A relaxed structure of KZn2Pd (PBE, the Alexandria database).

M_tot   0.0 μB/f.u.

Cell lengths 5.1290, 5.1290, 17.1460 Å; angles 90.00, 90.00, 90.00 degrees
Last column: nearest neighbours and their distance in Å.
Space group I4_1/amd (No. 141, origin choice 2)
One atom of each set of equivalent atoms:
K 0.0000 0.2500 0.3750 [4 per cell]  8 Zn 3.58, 4 Pd 3.63
Zn 0.0000 0.0000 0.0000 [8 per cell]  2 Pd 2.50, 2 Zn 2.56
Pd 0.0000 0.2500 0.8750 [4 per cell]  4 Zn 2.50



The structure with the greatest stability is B.



A | # KZrPd2

A relaxed structure of KZrPd2 (PBE, the Alexandria database).

M_tot   0.0 μB/f.u.

Cell lengths 6.9225, 6.9225, 6.9225 Å; angles 90.00, 90.00, 90.00 degrees
Last column: nearest neighbours and their distance in Å.
Space group Fm-3m (No. 225)
One atom of each set of equivalent atoms:
K 0.0000 0.0000 0.0000 [4 per cell]  8 Pd 3.00
Zr 0.0000 0.0000 0.5000 [4 per cell]  8 Pd 3.00
Pd 0.2500 0.2500 0.2500 [8 per cell]  4 Zr 3.00, 4 K 3.00



B | # KZrPd2

A relaxed structure of KZrPd2 (PBE, the Alexandria database).

M_tot   0.0 μB/f.u.

Cell lengths 7.6879, 7.6879, 6.4592 Å; angles 90.00, 90.00, 90.00 degrees
Last column: nearest neighbours and their distance in Å.
Space group I-42d (No. 122)
One atom of each set of equivalent atoms:
K 0.0000 0.0000 0.0000 [4 per cell]  4 Pd 3.07, 2 Zr 3.23
Zr 0.0000 0.0000 0.5000 [4 per cell]  4 Pd 2.62
Pd 0.2075 0.2500 0.6250 [8 per cell]  2 Zr 2.62



The structure with the greatest stability is A.



A | # KPmSb2

A relaxed structure of KPmSb2 (PBE, the Alexandria database).

M_tot   0.0 μB/f.u.

Cell lengths 4.5142, 4.5142, 25.6380 Å; angles 90.00, 90.00, 120.00 degrees
Last column: nearest neighbours and their distance in Å.
Space group R-3m (No. 166, hexagonal axes)
One atom of each set of equivalent atoms:
K 0.0000 0.0000 0.0000 [3 per cell]  6 Sb 3.62
Pm 0.0000 0.0000 0.5000 [3 per cell]  6 Sb 3.15
Sb 0.0000 0.0000 0.2356 [6 per cell]  3 Pm 3.15



B | # KPmSb2

A relaxed structure of KPmSb2 (PBE, the Alexandria database).

M_tot   0.0 μB/f.u.

Cell lengths 7.9319, 7.9319, 7.9319 Å; angles 90.00, 90.00, 90.00 degrees
Last column: nearest neighbours and their distance in Å.
Space group Fm-3m (No. 225)
One atom of each set of equivalent atoms:
K 0.0000 0.0000 0.0000 [4 per cell]  8 Sb 3.43
Pm 0.0000 0.0000 0.5000 [4 per cell]  8 Sb 3.43
Sb 0.2500 0.2500 0.2500 [8 per cell]  4 K 3.43, 4 Pm 3.43



The structure with the greatest stability is A.



A | # KPmSb2

A relaxed structure of KPmSb2 (PBE, the Alexandria database).

M_tot   0.0 μB/f.u.

Cell lengths 4.2080, 4.2080, 7.6113 Å; angles 90.00, 90.00, 90.00 degrees
Last column: nearest neighbours and their distance in Å.
Space group P4/mmm (No. 123)
One atom of each set of equivalent atoms:
K 0.0000 0.0000 0.0000 [1 per cell]  8 Sb 3.78, 2 Pm 3.81, 4 K 4.21
Pm 0.0000 0.0000 0.5000 [1 per cell]  8 Sb 3.32
Sb 0.5000 0.5000 0.3056 [2 per cell]  1 Sb 2.96



B | # KPmSb2

A relaxed structure of KPmSb2 (PBE, the Alexandria database).

M_tot   0.0 μB/f.u.

Cell lengths 5.2686, 5.2686, 4.3921 Å; angles 90.00, 90.00, 90.00 degrees
Last column: nearest neighbours and their distance in Å.
Space group P4/mmm (No. 123)
One atom of each set of equivalent atoms:
K 0.0000 0.0000 0.0000 [1 per cell]  8 Sb 3.43, 4 Pm 3.73
Pm 0.5000 0.5000 0.0000 [1 per cell]  8 Sb 3.43, 4 K 3.73
Sb 0.0000 0.5000 0.5000 [2 per cell]  4 Pm 3.43, 4 K 3.43, 4 Sb 3.73



The structure with the greatest stability is A.



A | # KPmSb

A relaxed structure of KPmSb (PBE, the Alexandria database).

M_tot   0.0 μB/f.u.

Cell lengths 4.2759, 4.2759, 14.3161 Å; angles 90.00, 90.00, 90.00 degrees
Last column: nearest neighbours and their distance in Å.
Space group I4mm (No. 107)
One atom of each set of equivalent atoms:
K 0.0000 0.0000 0.0000 [2 per cell]  1 Pm 3.78, 1 Sb 4.10
Pm 0.0000 0.0000 0.2642 [2 per cell]  4 Sb 3.11
Sb 0.0000 0.0000 0.7133 [2 per cell]  4 Pm 3.11



B | # KPmSb

A relaxed structure of KPmSb (PBE, the Alexandria database).

M_tot   0.9 μB/f.u.

Cell lengths 9.2213, 5.3323, 10.1233 Å; angles 90.00, 107.77, 90.00 degrees
Last column: nearest neighbours and their distance in Å.
Space group C2/m (No. 12)
One atom of each set of equivalent atoms:
K 0.1317 0.0000 0.3956 [4 per cell]  4 Sb 3.56-3.81, 3 K 3.67-3.68
Pm 0.1266 0.5000 0.8770 [4 per cell]  4 Sb 3.19-3.20
Sb 0.2360 0.5000 0.2094 [4 per cell]  4 Pm 3.19-3.20, 3 K 3.56



The structure with the greatest stability is B.



A | # KPm2Se3

A relaxed structure of KPm2Se3 (PBE, the Alexandria database).

M_tot   0.0 μB/f.u.

Cell lengths 4.0981, 12.2054, 7.4931 Å; angles 90.00, 90.00, 90.00 degrees
Last column: nearest neighbours and their distance in Å.
Space group Pmc2_1 (No. 26)
One atom of each set of equivalent atoms:
K 0.0000 0.1233 0.0000 [2 per cell]  6 Se 3.38-3.57
Pm 0.0000 0.2233 0.5045 [2 per cell]  5 Se 2.85-2.97
Pm 0.5000 0.4937 0.9986 [2 per cell]  6 Se 2.98-3.06
Se 0.0000 0.4038 0.7464 [2 per cell]  5 Pm 2.85-3.04
Se 0.5000 0.0848 0.6462 [2 per cell]  2 Pm 2.86
Se 0.5000 0.3060 0.2521 [2 per cell]  4 Pm 2.97-3.06



B | # KPm2Se3

A relaxed structure of KPm2Se3 (PBE, the Alexandria database).

M_tot   0.0 μB/f.u.

Cell lengths 4.2462, 4.2462, 22.4777 Å; angles 90.00, 90.00, 120.00 degrees
Last column: nearest neighbours and their distance in Å.
Space group P6_3/mmc (No. 194)
One atom of each set of equivalent atoms:
K 0.0000 0.0000 0.2500 [2 per cell]  6 Se 3.33
Pm 0.3333 0.6667 0.0772 [4 per cell]  6 Se 2.95-3.00
Se 0.0000 0.0000 0.0000 [2 per cell]  6 Pm 3.00
Se 0.3333 0.6667 0.6499 [4 per cell]  3 Pm 2.95



The structure with the greatest stability is B.



A | # KPmSn2

A relaxed structure of KPmSn2 (PBE, the Alexandria database).

M_tot   0.0 μB/f.u.

Cell lengths 4.1771, 4.1771, 7.8618 Å; angles 90.00, 90.00, 90.00 degrees
Last column: nearest neighbours and their distance in Å.
Space group P4/mmm (No. 123)
One atom of each set of equivalent atoms:
K 0.0000 0.0000 0.0000 [1 per cell]  8 Sn 3.85, 2 Pm 3.93, 4 K 4.18
Pm 0.0000 0.0000 0.5000 [1 per cell]  8 Sn 3.30
Sn 0.5000 0.5000 0.3131 [2 per cell]  1 Sn 2.94



B | # KPmSn2

A relaxed structure of KPmSn2 (PBE, the Alexandria database).

M_tot   0.0 μB/f.u.

Cell lengths 7.9060, 7.9060, 7.9060 Å; angles 90.00, 90.00, 90.00 degrees
Last column: nearest neighbours and their distance in Å.
Space group Fm-3m (No. 225)
One atom of each set of equivalent atoms:
K 0.0000 0.0000 0.0000 [4 per cell]  8 Sn 3.42
Pm 0.0000 0.0000 0.5000 [4 per cell]  8 Sn 3.42
Sn 0.2500 0.2500 0.2500 [8 per cell]  4 K 3.42, 4 Pm 3.42



C | # KPmSn2

A relaxed structure of KPmSn2 (PBE, the Alexandria database).

M_tot   0.0 μB/f.u.

Cell lengths 5.0290, 5.0290, 4.7073 Å; angles 90.00, 90.00, 90.00 degrees
Last column: nearest neighbours and their distance in Å.
Space group P4/mmm (No. 123)
One atom of each set of equivalent atoms:
K 0.0000 0.0000 0.0000 [1 per cell]  8 Sn 3.44, 4 Pm 3.56
Pm 0.5000 0.5000 0.0000 [1 per cell]  8 Sn 3.44, 4 K 3.56
Sn 0.0000 0.5000 0.5000 [2 per cell]  4 K 3.44, 4 Pm 3.44, 4 Sn 3.56



The structure with the greatest stability is A.



A | # KSr2Pm

A relaxed structure of KSr2Pm (PBE, the Alexandria database).

M_tot   0.8 μB/f.u.

Cell lengths 3.9272, 3.9272, 43.7186 Å; angles 90.00, 90.00, 120.00 degrees
Last column: nearest neighbours and their distance in Å.
Space group R-3m (No. 166, hexagonal axes)
One atom of each set of equivalent atoms:
K 0.0000 0.0000 0.0000 [3 per cell]  6 K 3.93, 6 Sr 4.35
Sr 0.0000 0.0000 0.4183 [6 per cell]  1 Pm 3.57, 6 Sr 3.93
Pm 0.0000 0.0000 0.5000 [3 per cell]  2 Sr 3.57, 6 Pm 3.93



B | # KSr2Pm

A relaxed structure of KSr2Pm (PBE, the Alexandria database).

M_tot   0.4 μB/f.u.

Cell lengths 4.0493, 4.0493, 12.4765 Å; angles 90.00, 90.00, 90.00 degrees
Last column: nearest neighbours and their distance in Å.
Space group P4/mmm (No. 123)
One atom of each set of equivalent atoms:
K 0.0000 0.0000 0.0000 [1 per cell]  4 K 4.05
Sr 0.5000 0.5000 0.2866 [2 per cell]  4 Pm 3.91, 4 Sr 4.05
Pm 0.0000 0.0000 0.5000 [1 per cell]  8 Sr 3.91, 4 Pm 4.05



The structure with the greatest stability is B.



A | # KPmTl2

A relaxed structure of KPmTl2 (PBE, the Alexandria database).

M_tot   0.0 μB/f.u.

Cell lengths 3.9444, 3.9444, 8.6487 Å; angles 90.00, 90.00, 90.00 degrees
Last column: nearest neighbours and their distance in Å.
Space group P4/mmm (No. 123)
One atom of each set of equivalent atoms:
K 0.0000 0.0000 0.0000 [1 per cell]  8 Tl 3.75, 4 K 3.94
Pm 0.0000 0.0000 0.5000 [1 per cell]  8 Tl 3.33
Tl 0.5000 0.5000 0.2903 [2 per cell]  4 Pm 3.33, 1 Tl 3.63



B | # KPmTl2

A relaxed structure of KPmTl2 (PBE, the Alexandria database).

M_tot   0.0 μB/f.u.

Cell lengths 3.8318, 3.8318, 32.6812 Å; angles 90.00, 90.00, 120.00 degrees
Last column: nearest neighbours and their distance in Å.
Space group R-3m (No. 166, hexagonal axes)
One atom of each set of equivalent atoms:
K 0.0000 0.0000 0.0000 [3 per cell]  6 Tl 3.67, 6 K 3.83
Pm 0.0000 0.0000 0.5000 [3 per cell]  6 Tl 3.35
Tl 0.0000 0.0000 0.2437 [6 per cell]  3 Pm 3.35, 3 K 3.67



C | # KPmTl2

A relaxed structure of KPmTl2 (PBE, the Alexandria database).

M_tot   0.0 μB/f.u.

Cell lengths 7.9786, 7.9786, 7.9786 Å; angles 90.00, 90.00, 90.00 degrees
Last column: nearest neighbours and their distance in Å.
Space group Fm-3m (No. 225)
One atom of each set of equivalent atoms:
K 0.0000 0.0000 0.0000 [4 per cell]  8 Tl 3.45
Pm 0.0000 0.0000 0.5000 [4 per cell]  8 Tl 3.45
Tl 0.2500 0.2500 0.2500 [8 per cell]  4 Pm 3.45, 4 K 3.45



The structure with the greatest stability is A.



A | # KPr3

A relaxed structure of KPr3 (PBE, the Alexandria database).

M_tot   0.0 μB/f.u.

Cell lengths 5.4026, 5.4026, 5.4026 Å; angles 90.00, 90.00, 90.00 degrees
Last column: nearest neighbours and their distance in Å.
Space group Pm-3m (No. 221)
One atom of each set of equivalent atoms:
K 0.0000 0.0000 0.0000 [1 per cell]  12 Pr 3.82
Pr 0.0000 0.5000 0.5000 [3 per cell]  4 K 3.82, 8 Pr 3.82



B | # KPr3

A relaxed structure of KPr3 (PBE, the Alexandria database).

M_tot   0.0 μB/f.u.

Cell lengths 7.9737, 7.9737, 5.9617 Å; angles 90.00, 90.00, 120.00 degrees
Last column: nearest neighbours and their distance in Å.
Space group P6_3/mmc (No. 194)
One atom of each set of equivalent atoms:
K 0.3333 0.6667 0.2500 [2 per cell]  12 Pr 3.88-3.99
Pr 0.1536 0.3072 0.7500 [6 per cell]  6 Pr 3.66-3.67, 4 K 3.88-3.99



The structure with the greatest stability is B.



A | # KSr2Pr

A relaxed structure of KSr2Pr (PBE, the Alexandria database).

M_tot   0.0 μB/f.u.

Cell lengths 4.0556, 4.0556, 12.5800 Å; angles 90.00, 90.00, 90.00 degrees
Last column: nearest neighbours and their distance in Å.
Space group P4/mmm (No. 123)
One atom of each set of equivalent atoms:
K 0.0000 0.0000 0.0000 [1 per cell]  4 K 4.06
Sr 0.5000 0.5000 0.2848 [2 per cell]  4 Pr 3.94, 4 Sr 4.06
Pr 0.0000 0.0000 0.5000 [1 per cell]  8 Sr 3.94, 4 Pr 4.06



B | # KSr2Pr

A relaxed structure of KSr2Pr (PBE, the Alexandria database).

M_tot   0.7 μB/f.u.

Cell lengths 3.9486, 3.9486, 45.1185 Å; angles 90.00, 90.00, 120.00 degrees
Last column: nearest neighbours and their distance in Å.
Space group R-3m (No. 166, hexagonal axes)
One atom of each set of equivalent atoms:
K 0.0000 0.0000 0.0000 [3 per cell]  6 K 3.95
Sr 0.0000 0.0000 0.4183 [6 per cell]  1 Pr 3.69, 6 Sr 3.95
Pr 0.0000 0.0000 0.5000 [3 per cell]  2 Sr 3.69, 6 Pr 3.95



The structure with the greatest stability is A.



A | # KPt4

A relaxed structure of KPt4 (PBE, the Alexandria database).

M_tot   0.0 μB/f.u.

Cell lengths 4.7935, 4.7935, 4.7935 Å; angles 90.00, 90.00, 90.00 degrees
Last column: nearest neighbours and their distance in Å.
Space group Pm-3m (No. 221)
One atom of each set of equivalent atoms:
K 0.0000 0.0000 0.0000 [1 per cell]  6 Pt 2.40
Pt 0.0000 0.0000 0.5000 [3 per cell]  2 K 2.40
Pt 0.5000 0.5000 0.5000 [1 per cell]  12 Pt 3.39



B | # KPt4

A relaxed structure of KPt4 (PBE, the Alexandria database).

M_tot   0.0 μB/f.u.

Cell lengths 4.6234, 4.6234, 9.9398 Å; angles 90.00, 90.00, 90.00 degrees
Last column: nearest neighbours and their distance in Å.
Space group I4/mmm (No. 139)
One atom of each set of equivalent atoms:
K 0.0000 0.0000 0.0000 [2 per cell]  18 Pt 3.39-3.71
Pt 0.0000 0.0000 0.3737 [4 per cell]  5 Pt 2.51-2.62
Pt 0.0000 0.5000 0.2500 [4 per cell]  4 Pt 2.62



The structure with the greatest stability is B.